VASP calculation (meta-GGA SCAN) on a PBEsol-optimized structure of CaTcNO2.

## Properties
Fermi-level density of states: 1.69 states/eV/f.u.
Theoretical density: 5.325 g/cm3
Size of the total moment: 0.000 μB per atom
E_form (uncorrected): -1.665 eV/atom

Lattice parameters (Å, degrees): 3.8833 3.8833 3.8065 90.00 90.00 90.00
With the nearest neighbours (Å) after each atom.
Space group P4/mmm (No. 123)
Inequivalent atoms, fractional coordinates:
Ca1 0.0000 0.0000 0.0000  8 O 2.72, 4 N 2.75
Tc1 0.5000 0.5000 0.5000  2 N 1.90, 4 O 1.94
N1 0.5000 0.5000 0.0000  2 Tc 1.90
O1 0.0000 0.5000 0.5000  2 Tc 1.94